Computed, not measured: a relaxed structure of Nd2NpN3 at the PBE level of DFT.

Properties
Distance to the lowest polymorph of the same formula (eV/atom): 0.000
Spin magnetization (μB per formula unit): 2.93
N(E_F) (states/eV/cell): 33.1
Raw formation energy (eV per atom): -1.304

```
data_Nd2NpN3
_chemical_formula_sum 'Nd8 Np4 N12'
_cell_length_a 6.1715
_cell_length_b 10.6771
_cell_length_c 6.2040
_cell_angle_alpha 90.00
_cell_angle_beta 109.42
_cell_angle_gamma 90.00
_symmetry_space_group_name_H-M 'C 1 2/m 1'
_symmetry_Int_Tables_number 12
_symmetry_space_group_name_Hall '-C 2y'
loop_
_atom_site_label
_atom_site_fract_x
_atom_site_fract_y
_atom_site_fract_z
_atom_site_occupancy
Nd1 0.0000 0.0000 0.0000 1
Nd2 0.0000 0.1650 0.5000 1
Nd3 0.0000 0.5000 0.5000 1
Np1 0.0000 0.3331 0.0000 1
N1 0.2159 0.5000 0.2201 1
N2 0.2473 0.3216 0.7760 1
```